(1)
# GGA-PBE SrHg2C, relaxed
# Density   6.95 g/cm3
# ΔE_f   68.1 kJ/mol of atoms
data_SrHg2C
_chemical_formula_sum 'Sr4 Hg8 C4'
_cell_length_a 6.9663
_cell_length_b 6.9663
_cell_length_c 9.8658
_cell_angle_alpha 90.00
_cell_angle_beta 90.00
_cell_angle_gamma 90.00
_symmetry_space_group_name_H-M 'I -4 2 d'
_symmetry_Int_Tables_number 122
_symmetry_space_group_name_Hall 'I -4 2bw'
loop_
_atom_site_label
_atom_site_type_symbol
_atom_site_fract_x
_atom_site_fract_y
_atom_site_fract_z
_atom_site_occupancy
Sr1 Sr 0.0000 0.0000 0.0000 1
Hg1 Hg 0.0009 0.7500 0.6250 1
C1 C 0.0000 0.0000 0.5000 1

***

(2)
# GGA-PBE KRbCrSe2, relaxed
# Density   2.82 g/cm3
# Formation energy without anion corrections   0.5164 eV/atom
data_KRbCrSe2
_chemical_formula_sum 'K1 Rb1 Cr1 Se2'
_cell_length_a 5.9205
_cell_length_b 5.9205
_cell_length_c 5.6188
_cell_angle_alpha 90.00
_cell_angle_beta 90.00
_cell_angle_gamma 90.00
_symmetry_space_group_name_H-M 'P 4/m m m'
_symmetry_Int_Tables_number 123
_symmetry_space_group_name_Hall '-P 4 2'
loop_
_atom_site_label
_atom_site_type_symbol
_atom_site_fract_x
_atom_site_fract_y
_atom_site_fract_z
_atom_site_occupancy
K1 K 0.0000 0.0000 0.0000 1
Rb1 Rb 0.0000 0.0000 0.5000 1
Cr1 Cr 0.5000 0.5000 0.5000 1
Se1 Se 0.0000 0.5000 0.0000 1

***

(3)
# GGA-PBE MgTi2NbSi, relaxed
# Density   3.50 g/cm3
# Formation energy without anion corrections   1.1496 eV/atom
data_MgTi2NbSi
_chemical_formula_sum 'Mg1 Ti2 Nb1 Si1'
_cell_length_a 4.6859
_cell_length_b 4.6859
_cell_length_c 5.2051
_cell_angle_alpha 90.00
_cell_angle_beta 90.00
_cell_angle_gamma 90.00
_symmetry_space_group_name_H-M 'P 4/m m m'
_symmetry_Int_Tables_number 123
_symmetry_space_group_name_Hall '-P 4 2'
loop_
_atom_site_label
_atom_site_type_symbol
_atom_site_fract_x
_atom_site_fract_y
_atom_site_fract_z
_atom_site_occupancy
Mg1 Mg 0.0000 0.0000 0.0000 1
Ti1 Ti 0.0000 0.5000 0.5000 1
Nb1 Nb 0.0000 0.0000 0.5000 1
Si1 Si 0.5000 0.5000 0.0000 1

***

(4)
# GGA-PBE Hf2Al4Tc, relaxed
# Density   6.46 g/cm3
# ΔE_f   24.6 kJ/mol of atoms
data_Hf2Al4Tc
_chemical_formula_sum 'Hf4 Al8 Tc2'
_cell_length_a 4.5842
_cell_length_b 4.5842
_cell_length_c 13.7759
_cell_angle_alpha 90.00
_cell_angle_beta 90.00
_cell_angle_gamma 90.00
_symmetry_space_group_name_H-M 'I 4/m m m'
_symmetry_Int_Tables_number 139
_symmetry_space_group_name_Hall '-I 4 2'
loop_
_atom_site_label
_atom_site_type_symbol
_atom_site_fract_x
_atom_site_fract_y
_atom_site_fract_z
_atom_site_occupancy
Hf1 Hf 0.0000 0.0000 0.1227 1
Al1 Al 0.0000 0.0000 0.3195 1
Al2 Al 0.0000 0.5000 0.0000 1
Tc1 Tc 0.0000 0.0000 0.5000 1

***

(5)
# GGA-PBE Rb2LiI6O, relaxed
# Density   3.93 g/cm3
# Formation energy without anion corrections   -0.5372 eV/atom
data_Rb2LiI6O
_chemical_formula_sum 'Rb4 Li2 I12 O2'
_cell_length_a 9.0009
_cell_length_b 9.0009
_cell_length_c 9.9662
_cell_angle_alpha 90.00
_cell_angle_beta 90.00
_cell_angle_gamma 90.00
_symmetry_space_group_name_H-M 'I 4/m m m'
_symmetry_Int_Tables_number 139
_symmetry_space_group_name_Hall '-I 4 2'
loop_
_atom_site_label
_atom_site_type_symbol
_atom_site_fract_x
_atom_site_fract_y
_atom_site_fract_z
_atom_site_occupancy
Rb1 Rb 0.0000 0.5000 0.2500 1
Li1 Li 0.0000 0.0000 0.0000 1
I1 I 0.0000 0.0000 0.2950 1
I2 I 0.2216 0.2216 0.0000 1
O1 O 0.0000 0.0000 0.5000 1

***

(6)
# GGA-PBE CdNiIr2, relaxed
# Density   15.17 g/cm3
# ΔE_f   30.0 kJ/mol of atoms
data_CdNiIr2
_chemical_formula_sum 'Cd2 Ni2 Ir4'
_cell_length_a 2.7626
_cell_length_b 4.7722
_cell_length_c 9.2252
_cell_angle_alpha 90.00
_cell_angle_beta 90.00
_cell_angle_gamma 90.00
_symmetry_space_group_name_H-M 'C m m 2'
_symmetry_Int_Tables_number 35
loop_
_symmetry_equiv_pos_as_xyz
'x,y,z'
'-x,-y,z'
'-x,y,z'
'x,-y,z'
'x+1/2,y+1/2,z'
'-x+1/2,-y+1/2,z'
'-x+1/2,y+1/2,z'
'x+1/2,-y+1/2,z'
loop_
_atom_site_label
_atom_site_type_symbol
_atom_site_fract_x
_atom_site_fract_y
_atom_site_fract_z
_atom_site_occupancy
Cd1 Cd 0.0000 0.0000 0.0000 1
Ni1 Ni 0.0000 0.5000 0.2508 1
Ir1 Ir 0.0000 0.0000 0.4797 1
Ir2 Ir 0.0000 0.5000 0.7272 1

***

Q: Which value of density does entry 2 give?
A: 2.82 g/cm3